(1)
Entry from OQMD: RbSmHgS3 after structural relaxation (PBE).

Cell lengths 9.1568, 9.1568, 9.0935 Å; angles 102.60, 102.60, 26.36 degrees
With the nearest neighbours (Å) after each atom.
Sites, in units of the cell vectors:
Rb: 0.1446 0.1446 0.0677  7 S 3.27-3.43
Rb: 0.8554 0.8554 0.9323  7 S 3.27-3.43
Sm: 0.1685 0.1685 0.5757  6 S 2.79-2.93
Sm: 0.8315 0.8315 0.4243  6 S 2.79-2.93
Hg: 0.4859 0.4859 0.2741  2 S 2.56-2.62
Hg: 0.5141 0.5141 0.7259  2 S 2.56-2.62
S: 0.0000 0.0000 0.5000  4 Hg 2.90, 2 Sm 2.93
S: 0.3288 0.3288 0.6302  3 Sm 2.79-2.81
S: 0.3354 0.3354 0.2205  1 Hg 2.62, 2 Sm 2.80
S: 0.5000 0.5000 0.0000  2 Hg 2.56
S: 0.6646 0.6646 0.7795  1 Hg 2.62, 2 Sm 2.80
S: 0.6712 0.6712 0.3698  3 Sm 2.79-2.81

Calculated values
Electronic total energy ... -4.2283 eV per atom
Total magnetic moment ... 0.007 Bohr magnetons per cell

(2)
Entry from OQMD: RbSmHgS3 after structural relaxation (PBE).

Cell lengths 8.3877, 4.1986, 10.6269 Å; angles 90.00, 108.55, 90.00 degrees
With the nearest neighbours (Å) after each atom.
Sites, in units of the cell vectors:
Rb: 0.2384 0.2500 0.2203  6 S 3.36-3.70
Rb: 0.7616 0.7500 0.7797  6 S 3.36-3.70
Sm: 0.1851 0.7500 0.6306  5 S 2.71-2.86
Sm: 0.8149 0.2500 0.3694  5 S 2.71-2.86
Hg: 0.4041 0.2500 0.8827  3 S 2.51-2.59
Hg: 0.5959 0.7500 0.1173  3 S 2.51-2.59
S: 0.0359 0.7500 0.3637  3 Sm 2.71-2.81
S: 0.2584 0.7500 0.9387  3 Hg 2.59-2.86
S: 0.4231 0.2500 0.6521  1 Hg 2.51
S: 0.5769 0.7500 0.3479  1 Hg 2.51
S: 0.7416 0.2500 0.0613  3 Hg 2.59-2.86
S: 0.9641 0.2500 0.6363  3 Sm 2.71-2.81

Calculated values
Electronic total energy ... -4.2831 eV per atom
Total magnetic moment ... 0.005 Bohr magnetons per cell